The following is a DFT calculation (PBE) of crystalline HfTi4Co5 at its relaxed geometry.

Geometry as extended XYZ:
```
10
Lattice="2.9825 0.0000 0.0000 0.0000 2.9825 0.0000 0.0000 0.0000 15.2596" Properties=species:S:1:pos:R:3 pbc="T T T"
Hf 0.0000 0.0000 0.0000
Ti 0.0000 0.0000 3.1869
Ti 0.0000 0.0000 6.1578
Ti 0.0000 0.0000 9.1018
Ti 0.0000 0.0000 12.0727
Co 1.4912 1.4912 1.8420
Co 1.4912 1.4912 4.7217
Co 1.4912 1.4912 7.6298
Co 1.4912 1.4912 10.5379
Co 1.4912 1.4912 13.4176
```

The value obtained for the total magnetization is 0.14 μB/f.u. The formation energy comes out at -36.8 kJ per mole of atoms. Its final energy is -80.88 eV/cell.

=====

The following is a DFT calculation (PBE) of crystalline Hf4TiCo2 at its relaxed geometry.

Geometry as extended XYZ:
```
7
Lattice="4.1421 0.0000 0.0000 2.0710 3.5871 0.0000 2.0710 1.1957 9.2397" Properties=species:S:1:pos:R:3 pbc="T T T"
Hf 6.2131 3.5871 8.2531
Hf 6.2131 3.5871 2.9842
Hf 2.0710 1.1957 0.9867
Hf 2.0710 1.1957 6.2555
Ti 4.1421 2.3914 4.6199
Co 4.1421 2.3914 1.8784
Co 4.1421 2.3914 7.3613
```

The value obtained for the total magnetization is 0.96 μB/f.u. The formation energy comes out at 7.9 kJ per mole of atoms. Its final energy is -61.35 eV/cell.

=====

The following is a DFT calculation (PBE) of crystalline Hf2TiCo at its relaxed geometry.

Geometry as extended XYZ:
```
8
Lattice="-1.5107 6.7592 -2.3416 -4.7506 0.8412 5.4932 -1.0670 4.8253 3.2036" Properties=species:S:1:pos:R:3 pbc="T T T"
Co 0.0000 0.0000 0.0000
Co -2.8542 7.6924 1.2189
Hf -1.8839 5.8900 -0.0986
Hf -3.3456 2.2230 4.0641
Hf -2.8994 6.4251 3.2968
Hf -6.5277 10.3134 5.4481
Ti -3.1307 3.8002 1.5758
Ti -4.4741 4.7334 5.1363
```

The value obtained for the total magnetization is 0.02 μB/f.u. The formation energy comes out at 17.9 kJ per mole of atoms. Its final energy is -68.33 eV/cell.

=====

The following is a DFT calculation (PBE) of crystalline HfTi7Co5 at its relaxed geometry.

Geometry as extended XYZ:
```
13
Lattice="-4.5324 1.7250 -1.4617 -4.8971 -2.1461 3.8766 -1.5482 5.7640 2.8274" Properties=species:S:1:pos:R:3 pbc="T T T"
Hf -4.5411 1.7336 -1.4246
Ti -5.2094 2.3949 1.4282
Ti -5.8147 2.9939 4.0120
Ti -7.2620 4.7920 1.8461
Ti -8.3039 2.3310 2.1725
Ti -2.7059 1.2976 1.1460
Ti -6.4829 0.2080 2.7963
Ti -4.4259 5.0667 2.1518
Co -7.9364 1.5559 4.5303
Co -5.6826 0.6982 5.2571
Co -6.2350 5.5747 3.9972
Co -3.9812 4.7170 4.7240
Co -8.2631 4.0366 4.0589
```

The value obtained for the total magnetization is 0.00 μB/f.u. The formation energy comes out at -24.3 kJ per mole of atoms. Its final energy is -104.02 eV/cell.

=====

> Which value of final energy does entry 1 give?

-80.88 eV/cell